[1]
DFT (GGA-PBE) results for a relaxed structure of PrY6Tl3. Values from VASP.

Results
Space group: No. 36
Calculated total energy (eV per cell): -104.7

The structure in Quantum ESPRESSO input format:
```
&SYSTEM
  ibrav = 0, nat = 20, ntyp = 3
/
ATOMIC_SPECIES
Pr 140.91 Pr.upf
Y 88.91 Y.upf
Tl 204.38 Tl.upf
CELL_PARAMETERS angstrom
-1.205 -8.420 -0.109
8.569 -1.217 -0.662
-0.362 -0.061 8.672
ATOMIC_POSITIONS angstrom
Pr 5.098 -5.064 2.280
Pr 2.504 -0.440 5.676
Y -0.012 -2.705 3.647
Y 6.441 -1.562 1.463
Y 1.367 -5.935 3.173
Y 2.679 -7.342 0.150
Y -0.235 -1.681 8.283
Y 6.870 -7.994 4.241
Y 4.123 -6.364 5.863
Y 0.989 -5.144 6.477
Y 7.388 -6.956 -0.368
Y 3.088 -1.870 2.058
Y 5.844 -2.299 4.748
Y 4.179 -3.358 7.738
Tl 6.840 -5.011 5.657
Tl 1.752 -4.218 0.690
Tl -0.346 -8.235 2.199
Tl 3.775 -7.960 3.173
Tl 2.965 -3.567 4.704
Tl 4.742 -9.027 7.165
```

***

[2]
DFT (GGA-PBE) results for a relaxed structure of CaTcNi2N. Values from VASP.

Results
Raw formation energy (kJ/mol of atoms): 207.7
Space group: No. 123

The structure in Quantum ESPRESSO input format:
```
&SYSTEM
  ibrav = 0, nat = 5, ntyp = 4
/
ATOMIC_SPECIES
Tc 98.00 Tc.upf
Ni 58.69 Ni.upf
Ca 40.08 Ca.upf
N 14.01 N.upf
CELL_PARAMETERS angstrom
4.462 0.000 0.000
0.000 4.462 0.000
0.000 0.000 4.091
ATOMIC_POSITIONS angstrom
Tc 2.231 2.231 2.046
Ni 2.231 0.000 0.000
Ni 0.000 2.231 0.000
Ca 0.000 0.000 0.000
N 0.000 0.000 2.046
```

***

Respective total moment values: 0.085; 0.251 μB/atom.